1.
Computed, not measured: a relaxed HgCl2F crystal at the PBE-GGA level of DFT.

The space group is I-42d (No. 122) and the conventional cell measures 8.2707, 8.2707 and 4.8824 Å, with angles of 90.00, 90.00 and 90.00 degrees. The distinct sites, in fractional coordinates, are Hg at (0.0000, 0.0000, 0.0000), Cl at (0.2158, 0.2500, 0.1250) and F at (0.0000, 0.0000, 0.5000).

The calculation puts the density of states at the Fermi level at 4.5 states/eV per cell. For the energy relative to the lowest polymorph listed for this composition, the calculation gives 142 meV/atom.

***

2.
Computed, not measured: a relaxed HgCl2F crystal at the PBE-GGA level of DFT.

The space group is R-3m (No. 166, hexagonal axes) and the conventional cell measures 4.0451, 4.0451 and 22.4166 Å, with angles of 90.00, 90.00 and 120.00 degrees. The distinct sites, in fractional coordinates, are Hg at (0.0000, 0.0000, 0.0000), Cl at (0.0000, 0.0000, 0.3966) and F at (0.0000, 0.0000, 0.5000).

The calculation puts the density of states at the Fermi level at 2.3 states/eV per cell. For the energy relative to the lowest polymorph listed for this composition, the calculation gives 244 meV/atom.

***

3.
Computed, not measured: a relaxed Hg4ClF4 crystal at the PBE-GGA level of DFT.

The space group is P4_2/n (No. 86, origin choice 2) and the conventional cell measures 8.2372, 8.2372 and 5.5508 Å, with angles of 90.00, 90.00 and 90.00 degrees. The distinct sites, in fractional coordinates, are Hg at (0.0555, 0.5912, 0.1814), Cl at (0.2500, 0.2500, 0.7500) and F at (0.1154, 0.6453, 0.5713).

The calculation puts the density of states at the Fermi level at 11.3 states/eV per cell.

***

4.
Computed, not measured: a relaxed HgCl4F crystal at the PBE-GGA level of DFT.

The space group is P-1 (No. 2) and the conventional cell measures 7.7717, 8.0544 and 8.1214 Å, with angles of 87.20, 69.30 and 62.04 degrees. The distinct sites, in fractional coordinates, are Hg at (0.0234, 0.4629, 0.2422), Cl at (0.1262, 0.9901, 0.5427), Cl at (0.2136, 0.5572, 0.8568), Cl at (0.2654, 0.4665, 0.3453), Cl at (0.3651, 0.0187, 0.9959) and F at (0.1789, 0.0880, 0.6901).

***

5.
Computed, not measured: a relaxed HgClF crystal at the PBE-GGA level of DFT.

The space group is Pc (No. 7) and the conventional cell measures 4.0011, 6.2459 and 6.4899 Å, with angles of 90.00, 110.18 and 90.00 degrees. The distinct sites, in fractional coordinates, are Hg at (0.0000, 0.2060, 0.0000), Cl at (0.2557, 0.3410, 0.7524) and F at (0.7644, 0.1110, 0.2230).

The calculation puts the density of states at the Fermi level at 0.0 states/eV per cell. For the energy relative to the lowest polymorph listed for this composition, the calculation gives 13 meV/atom.

***

6.
Computed, not measured: a relaxed HgClF crystal at the PBE-GGA level of DFT.

The space group is I4mm (No. 107) and the conventional cell measures 4.6962, 4.6962 and 7.0961 Å, with angles of 90.00, 90.00 and 90.00 degrees. The distinct sites, in fractional coordinates, are Hg at (0.0000, 0.0000, 0.0000), Cl at (0.0000, 0.0000, 0.3225) and F at (0.0000, 0.0000, 0.7167).

The calculation puts the density of states at the Fermi level at 0.0 states/eV per cell. For the energy relative to the lowest polymorph listed for this composition, the calculation gives 83 meV/atom.

***

7.
Computed, not measured: a relaxed HgClF crystal at the PBE-GGA level of DFT.

The space group is Cm (No. 8) and the conventional cell measures 6.5902, 5.2901 and 4.2768 Å, with angles of 90.00, 105.56 and 90.00 degrees. The distinct sites, in fractional coordinates, are Hg at (0.0000, 0.0000, 0.0000), Cl at (0.2357, 0.5000, 0.2695) and F at (0.2352, 0.0000, 0.7698).

The calculation puts the density of states at the Fermi level at 0.0 states/eV per cell. For the energy relative to the lowest polymorph listed for this composition, the calculation gives 25 meV/atom.

***

8.
Computed, not measured: a relaxed HgClF3 crystal at the PBE-GGA level of DFT.

The space group is P1 (No. 1) and the conventional cell measures 6.3985, 6.5091 and 6.5394 Å, with angles of 60.75, 61.00 and 60.95 degrees. The distinct sites, in fractional coordinates, are Hg at (0.0000, 0.0000, 0.0000), Hg at (0.3912, 0.3928, 0.2486), Cl at (0.6033, 0.6090, 0.6675), Cl at (0.7846, 0.7892, 0.6859), F at (0.0468, 0.5702, 0.1669), F at (0.2313, 0.2267, 0.6891), F at (0.2912, 0.7628, 0.2283), F at (0.5584, 0.0577, 0.1664), F at (0.7721, 0.2856, 0.2227) and F at (0.9580, 0.9632, 0.6794).

The calculation puts the density of states at the Fermi level at 7.8 states/eV per cell. For the energy relative to the lowest polymorph listed for this composition, the calculation gives 73 meV/atom.

***

9.
Computed, not measured: a relaxed HgClF3 crystal at the PBE-GGA level of DFT.

The space group is Pm-3m (No. 221) and the conventional cell measures 4.3729, 4.3729 and 4.3729 Å, with angles of 90.00, 90.00 and 90.00 degrees. The distinct sites, in fractional coordinates, are Hg at (0.0000, 0.0000, 0.0000), Cl at (0.5000, 0.5000, 0.5000) and F at (0.0000, 0.5000, 0.5000).

The calculation puts the density of states at the Fermi level at 5.8 states/eV per cell. For the energy relative to the lowest polymorph listed for this composition, the calculation gives 631 meV/atom.

***

10.
Computed, not measured: a relaxed Hg6ClF8 crystal at the PBE-GGA level of DFT.

The space group is R-3 (No. 148, hexagonal axes) and the conventional cell measures 6.9368, 6.9368 and 19.0139 Å, with angles of 90.00, 90.00 and 120.00 degrees. The distinct sites, in fractional coordinates, are Hg at (0.0092, 0.3597, 0.4201), Cl at (0.0000, 0.0000, 0.5000), F at (0.0000, 0.0000, 0.1766) and F at (0.0054, 0.3537, 0.2857).

The calculation puts the density of states at the Fermi level at 13.1 states/eV per cell.

***

11.
Computed, not measured: a relaxed Hg4Cl5F crystal at the PBE-GGA level of DFT.

The space group is C2/m (No. 12) and the conventional cell measures 20.2218, 3.9249 and 7.3208 Å, with angles of 90.00, 102.52 and 90.00 degrees. The distinct sites, in fractional coordinates, are Hg at (0.0013, 0.0000, 0.2815), Hg at (0.1870, 0.5000, 0.6313), Cl at (0.0000, 0.5000, 0.0000), Cl at (0.1693, 0.0000, 0.8452), Cl at (0.1755, 0.0000, 0.3661) and F at (0.0000, 0.5000, 0.5000).

The calculation puts the density of states at the Fermi level at 3.5 states/eV per cell.

***

12.
Computed, not measured: a relaxed Hg3ClF4 crystal at the PBE-GGA level of DFT.

The space group is Cc (No. 9) and the conventional cell measures 12.8085, 6.3879 and 8.3886 Å, with angles of 90.00, 110.06 and 90.00 degrees. The distinct sites, in fractional coordinates, are Hg at (0.0000, 0.0007, 0.0000), Hg at (0.1084, 0.4887, 0.7148), Hg at (0.3567, 0.0362, 0.7483), Cl at (0.2976, 0.3301, 0.3596), F at (0.0675, 0.3335, 0.9467), F at (0.1712, 0.1533, 0.6518), F at (0.4255, 0.1581, 0.0490) and F at (0.4932, 0.3066, 0.7488).

The calculation puts the density of states at the Fermi level at 3.9 states/eV per cell.

***

no.,E_tot (eV/atom)
1,-1.886
2,-1.784
3,-2.180
4,-1.996
5,-2.338
6,-2.268
7,-2.326
8,-2.367
9,-1.810
10,-2.328
11,-1.764
12,-2.413